Density functional theory data (GGA-PBE) for a relaxed Ce8GaOs2 crystal.

Cell and atoms, written as POSCAR:
```
Ce8GaOs2
1.0
4.1806 -6.6365 0.0000
4.1806 6.6365 0.0000
-1.3348 0.0000 4.9902
Ce Ga Os
8 1 2
Direct
0.0704 0.2831 0.5653 Ce
0.2477 0.7523 0.0000 Ce
0.2831 0.0704 0.5653 Ce
0.3977 0.3977 0.1771 Ce
0.6023 0.6023 0.8229 Ce
0.7169 0.9296 0.4347 Ce
0.7523 0.2477 0.0000 Ce
0.9296 0.7169 0.4347 Ce
0.0000 0.0000 0.0000 Ga
0.3111 0.6889 0.5000 Os
0.6889 0.3111 0.5000 Os
```

DFT formation energy: -0.127 eV per atom
Total magnetic moment: 0.66 μB/f.u.